No. 1
## NaTcF3 (PBE)

Data for a geometry-optimized NaTcF3 structure.

**Energy above the lowest structure with this stoichiometry**: 0 meV/atom
**Formation energy from raw total energies**: -753 kJ/mol of formula units
**Final energy**: -25.11 eV/cell

Cell: 4.234 4.234 4.234 Å, 90.00 90.00 90.00°
Space group Pm-3m (No. 221)
One atom of each set of equivalent atoms:
Na1 0.000 0.000 0.000
Tc1 0.500 0.500 0.500
F1 0.000 0.500 0.500


No. 2
## NaTl2TcF6 (PBE)

Data for a geometry-optimized NaTl2TcF6 structure.

**Formation energy from raw total energies**: -1975 kJ/mol of formula units
**Final energy**: -96.23 eV/cell

Cell: 6.061 6.225 8.782 Å, 90.00 90.00 90.00°
Space group Immm (No. 71)
One atom of each set of equivalent atoms:
Na1 0.000 0.000 0.000
Tl1 0.000 0.500 0.248
Tc1 0.000 0.000 0.500
F1 0.000 0.000 0.263
F2 0.231 0.239 0.500


No. 3
## NaTlTc2F (PBE)

Data for a geometry-optimized NaTlTc2F structure.

**Formation energy from raw total energies**: 222 kJ/mol of formula units
**Final energy**: -23.99 eV/cell

Cell: 4.364 4.364 4.384 Å, 90.00 90.00 90.00°
Space group P4/mmm (No. 123)
One atom of each set of equivalent atoms:
Na1 0.000 0.000 0.000
Tl1 0.500 0.500 0.000
Tc1 0.000 0.500 0.500
F1 0.000 0.000 0.500


One value per record, in order, for D(E_F): 4.05; 6.43; 4.15 states/eV/cell.